A plane-wave DFT calculation with PBE was carried out for a geometry-optimized BaUNiTe4 structure.

Summary:
As for the total energy: -5.303 eV per atom. The volume comes out at 30.791 Å³/atom. The value obtained for the uncorrected formation energy is -537 kJ/mol of formula units. As for the space group: P2_1/m, No. 11.

a = 7.4132 Å, b = 6.3907 Å, c = 9.5442 Å
α = 90.00°, β = 107.56°, γ = 90.00°
Last column: nearest neighbours and their distance in Å.
Element x y z (fractional)
Ba 0.2425 0.2500 0.0608  8 Te 3.46-3.62
Ba 0.7575 0.7500 0.9392  8 Te 3.46-3.62
U 0.2728 0.2500 0.5586  8 Te 3.06-3.36, 1 Ni 3.28
U 0.7272 0.7500 0.4414  8 Te 3.06-3.36, 1 Ni 3.28
Ni 0.2631 0.7500 0.3297  4 Te 2.47-2.53
Ni 0.7369 0.2500 0.6703  4 Te 2.47-2.53
Te 0.0112 0.5019 0.7138  1 Ni 2.53
Te 0.0112 0.9981 0.7138  1 Ni 2.53
Te 0.4209 0.7500 0.5971  1 Ni 2.47
Te 0.4333 0.7500 0.1378  1 Ni 2.52
Te 0.5667 0.2500 0.8622  1 Ni 2.52
Te 0.5791 0.2500 0.4029  1 Ni 2.47
Te 0.9888 0.0019 0.2862  1 Ni 2.53
Te 0.9888 0.4981 0.2862  1 Ni 2.53

=====

A plane-wave DFT calculation with PBE was carried out for a geometry-optimized TmAsPt structure.

Summary:
As for the total energy: -6.256 eV per atom. The volume comes out at 19.885 Å³/atom. The calculation puts the formation enthalpy at 0 K at -1.20 eV/atom. As for the space group: P6_3/mmc, No. 194.

a = 4.2721 Å, b = 4.2721 Å, c = 15.0968 Å
α = 90.00°, β = 90.00°, γ = 120.00°
Last column: nearest neighbours and their distance in Å.
Element x y z (fractional)
Tm 0.0000 0.0000 0.0000  6 As 3.00, 6 Pt 3.23
Tm 0.0000 0.0000 0.2500  6 Pt 2.99, 6 As 3.21
Tm 0.0000 0.0000 0.5000  6 As 3.00, 6 Pt 3.23
Tm 0.0000 0.0000 0.7500  6 Pt 2.99, 6 As 3.21
As 0.3333 0.6667 0.1136  3 Pt 2.49
As 0.3333 0.6667 0.3864  3 Pt 2.49
As 0.6667 0.3333 0.6136  3 Pt 2.49
As 0.6667 0.3333 0.8864  3 Pt 2.49
Pt 0.3333 0.6667 0.6384  3 As 2.49
Pt 0.3333 0.6667 0.8616  3 As 2.49
Pt 0.6667 0.3333 0.1384  3 As 2.49
Pt 0.6667 0.3333 0.3616  3 As 2.49

=====

A plane-wave DFT calculation with PBE was carried out for a geometry-optimized CsBaY2Hf structure.

Summary:
As for the total energy: -3.451 eV per atom. The volume comes out at 42.101 Å³/atom. The calculation puts the formation enthalpy at 0 K at 1.68 eV/atom. As for the space group: P4/mmm, No. 123.

a = 5.8396 Å, b = 5.8396 Å, c = 6.1730 Å
α = 90.00°, β = 90.00°, γ = 90.00°
Last column: nearest neighbours and their distance in Å.
Element x y z (fractional)
Cs 0.0000 0.0000 0.0000  2 Ba 3.09
Ba 0.0000 0.0000 0.5000  4 Y 2.92, 2 Cs 3.09
Y 0.0000 0.5000 0.5000  2 Ba 2.92
Y 0.5000 0.0000 0.5000  2 Ba 2.92
Hf 0.5000 0.5000 0.0000  4 Cs 4.13, 8 Y 4.25

=====

A plane-wave DFT calculation with PBE was carried out for a geometry-optimized NbRhN structure.

Summary:
As for the total energy: -9.015 eV per atom. The volume comes out at 14.737 Å³/atom. The value obtained for the uncorrected formation energy is -125 kJ/mol of formula units. As for the space group: P-6m2, No. 187.

a = 3.5395 Å, b = 3.5395 Å, c = 4.0749 Å
α = 90.00°, β = 90.00°, γ = 120.00°
Last column: nearest neighbours and their distance in Å.
Element x y z (fractional)
Nb 0.0000 0.0000 0.0000  3 N 2.04
Rh 0.6667 0.3333 0.5000  2 N 2.04
N 0.6667 0.3333 0.0000  2 Rh 2.04, 3 Nb 2.04

=====

A plane-wave DFT calculation with PBE was carried out for a geometry-optimized Lu2PbN structure.

Summary:
As for the total energy: -5.669 eV per atom. The volume comes out at 18.901 Å³/atom. The value obtained for the uncorrected formation energy is -154 kJ/mol of formula units. As for the space group: P4/mmm, No. 123.

a = 3.1314 Å, b = 3.1314 Å, c = 7.7103 Å
α = 90.00°, β = 90.00°, γ = 90.00°
Last column: nearest neighbours and their distance in Å.
Element x y z (fractional)
Lu 0.0000 0.0000 0.1822  4 N 2.62, 1 Lu 2.81
Lu 0.0000 0.0000 0.8178  4 N 2.62, 1 Lu 2.81
Pb 0.5000 0.5000 0.5000  4 Pb 3.13, 8 Lu 3.30
N 0.5000 0.5000 0.0000  8 Lu 2.62

=====

A plane-wave DFT calculation with PBE was carried out for a geometry-optimized MnCuTc structure.

Summary:
Its energy above the most stable polymorph in this dataset is 72 meV per atom. As for the total energy: -7.638 eV per atom. The volume comes out at 13.222 Å³/atom. The calculation puts the formation enthalpy at 0 K at 0.24 eV/atom. As for the space group: Fmm2, No. 42.

a = 6.3598 Å, b = 6.2382 Å, c = 2.5999 Å
α = 80.73°, β = 75.48°, γ = 23.79°
Last column: nearest neighbours and their distance in Å.
Element x y z (fractional)
Mn 0.0000 0.0000 0.0000  4 Cu 2.54-2.82, 4 Tc 2.54-2.82, 4 Mn 2.60
Cu 0.3376 0.3376 0.6624  4 Mn 2.54-2.82, 4 Cu 2.60, 2 Tc 2.66
Tc 0.6625 0.6625 0.3375  4 Mn 2.54-2.82, 4 Tc 2.60, 2 Cu 2.66

=====

A plane-wave DFT calculation with PBE was carried out for a geometry-optimized AcTe2 structure.

Summary:
Its energy above the most stable polymorph in this dataset is 0 meV per atom. As for the total energy: -4.881 eV per atom. The volume comes out at 35.014 Å³/atom. The value obtained for the uncorrected formation energy is -410 kJ/mol of formula units. As for the space group: P2_1/c, No. 14.

a = 9.5370 Å, b = 4.6719 Å, c = 9.4301 Å
α = 90.00°, β = 90.05°, γ = 90.00°
Last column: nearest neighbours and their distance in Å.
Element x y z (fractional)
Ac 0.2254 0.2348 0.3743  9 Te 3.38-3.59
Ac 0.2254 0.2652 0.8743  9 Te 3.38-3.59
Ac 0.7746 0.7348 0.1257  9 Te 3.38-3.59
Ac 0.7746 0.7652 0.6257  9 Te 3.38-3.59
Te 0.1338 0.7464 0.1249  5 Ac 3.38-3.50
Te 0.1338 0.7536 0.6249  5 Ac 3.38-3.50
Te 0.5004 0.2083 0.1227  3 Te 3.02-3.35
Te 0.5004 0.2917 0.6227  3 Te 3.02-3.35
Te 0.4996 0.7083 0.3773  3 Te 3.02-3.35
Te 0.4996 0.7917 0.8773  3 Te 3.02-3.35
Te 0.8662 0.2464 0.3751  5 Ac 3.38-3.50
Te 0.8662 0.2536 0.8751  5 Ac 3.38-3.50

=====

A plane-wave DFT calculation with PBE was carried out for a geometry-optimized K3GeO3 structure.

Summary:
Its energy above the most stable polymorph in this dataset is 47 meV per atom. As for the total energy: -4.631 eV per atom. The volume comes out at 23.491 Å³/atom. The value obtained for the uncorrected formation energy is -930 kJ/mol of formula units. As for the space group: Cmcm, No. 63.

a = 8.2311 Å, b = 8.2311 Å, c = 5.6017 Å
α = 90.00°, β = 90.00°, γ = 119.94°
Last column: nearest neighbours and their distance in Å.
Element x y z (fractional)
K 0.1733 0.3459 0.7500  4 O 2.76-2.85
K 0.1726 0.8274 0.7500  4 O 2.76-2.85
K 0.3459 0.1733 0.2500  4 O 2.76-2.85
K 0.6541 0.8267 0.7500  4 O 2.76-2.85
K 0.8274 0.1726 0.2500  4 O 2.76-2.85
K 0.8267 0.6541 0.2500  4 O 2.76-2.85
Ge 0.3332 0.6668 0.2500  3 O 1.77
Ge 0.6668 0.3332 0.7500  3 O 1.77
O 0.2091 0.7909 0.2500  1 Ge 1.77
O 0.2097 0.4190 0.2500  1 Ge 1.77
O 0.4190 0.2097 0.7500  1 Ge 1.77
O 0.5810 0.7903 0.2500  1 Ge 1.77
O 0.7903 0.5810 0.7500  1 Ge 1.77
O 0.7909 0.2091 0.7500  1 Ge 1.77